# 1
Here is BeNbV3 after structural relaxation from Alexandria via LeMat-Bulk. Energies are from GGA-PBE.

Cell: 4.162 4.162 4.162 Å, 90.00 90.00 90.00°
Space group Pm-3m (No. 221)
Asymmetric unit:
1 Be 0.000 0.000 0.000 [1 per cell]
2 Nb 0.500 0.500 0.500 [1 per cell]
3 V 0.000 0.000 0.500 [3 per cell]

Values from the calculation:
total DFT energy (no corrections): -7.653 eV/atom
ΔE_f: 278.4 kJ/mol of formula units
total moment: 0.000 Bohr magnetons per cell
polymorph energy (0 for the lowest one): 0.000 eV/atom

=====

# 2
Here is BeNbV after structural relaxation from Alexandria via LeMat-Bulk. Energies are from GGA-PBE.

Cell: 2.655 2.655 11.635 Å, 90.00 90.00 90.00°
Space group I4mm (No. 107)
Asymmetric unit:
1 Be 0.000 0.000 0.000 [2 per cell]
2 Nb 0.000 0.000 0.657 [2 per cell]
3 V 0.000 0.000 0.362 [2 per cell]

Values from the calculation:
total DFT energy (no corrections): -7.571 eV/atom
ΔE_f: 19.5 kJ/mol of formula units
total moment: 0.000 Bohr magnetons per cell
polymorph energy (0 for the lowest one): 0.115 eV/atom

=====

# 3
Here is BeNbV3 after structural relaxation from Alexandria via LeMat-Bulk. Energies are from GGA-PBE.

Cell: 4.552 4.552 4.552 Å, 90.00 90.00 90.00°
Space group Pm-3m (No. 221)
Asymmetric unit:
1 Be 0.000 0.000 0.000 [1 per cell]
2 Nb 0.500 0.500 0.500 [1 per cell]
3 V 0.000 0.500 0.500 [3 per cell]

Values from the calculation:
total DFT energy (no corrections): -6.510 eV/atom
ΔE_f: 829.9 kJ/mol of formula units
total moment: 0.009 Bohr magnetons per cell
polymorph energy (0 for the lowest one): 1.143 eV/atom

=====

# 4
Here is Be2NbV2 after structural relaxation from Alexandria via LeMat-Bulk. Energies are from GGA-PBE.

Cell: 6.363 6.363 3.077 Å, 90.00 90.00 90.00°
Space group P4/mbm (No. 127)
Asymmetric unit:
1 Be 0.114 0.386 0.000 [4 per cell]
2 Nb 0.000 0.000 0.000 [2 per cell]
3 V 0.178 0.678 0.500 [4 per cell]

Values from the calculation:
total DFT energy (no corrections): -7.181 eV/atom
ΔE_f: -14.3 kJ/mol of formula units
total moment: 0.000 Bohr magnetons per cell
polymorph energy (0 for the lowest one): 0.000 eV/atom

=====

# 5
Here is Be9NbW2 after structural relaxation from Alexandria via LeMat-Bulk. Energies are from GGA-PBE.

Cell: 4.4603 4.4603 20.8247 Å, 90.00 90.00 120.00°
Space group R-3m (No. 166, hexagonal axes)
Asymmetric unit:
1 Be 0.0000 0.0000 0.0000 [3 per cell]
2 Be 0.0000 0.0000 0.1656 [6 per cell]
3 Be 0.0048 0.5024 0.4178 [18 per cell]
4 Nb 0.0000 0.0000 0.5000 [3 per cell]
5 W 0.0000 0.0000 0.3560 [6 per cell]

Values from the calculation:
total DFT energy (no corrections): -6.069 eV/atom
ΔE_f: -319.8 kJ/mol of formula units
total moment: 0.000 Bohr magnetons per cell

=====

# 6
Here is Be2NbW2 after structural relaxation from Alexandria via LeMat-Bulk. Energies are from GGA-PBE.

Cell: 6.338 6.338 3.263 Å, 90.00 90.00 90.00°
Space group P4/mbm (No. 127)
Asymmetric unit:
1 Be 0.115 0.385 0.000 [4 per cell]
2 Nb 0.000 0.000 0.000 [2 per cell]
3 W 0.176 0.676 0.500 [4 per cell]

Values from the calculation:
total DFT energy (no corrections): -8.863 eV/atom
ΔE_f: -85.3 kJ/mol of formula units
total moment: 0.000 Bohr magnetons per cell
polymorph energy (0 for the lowest one): 0.000 eV/atom

=====

# 7
Here is Be17NbW after structural relaxation from Alexandria via LeMat-Bulk. Energies are from GGA-PBE.

Cell: 7.3319 7.3319 10.6432 Å, 90.00 90.00 120.00°
Space group R3m (No. 160, hexagonal axes)
Asymmetric unit:
1 Be 0.0000 0.0000 0.0532 [3 per cell]
2 Be 0.0000 0.0000 0.2524 [3 per cell]
3 Be 0.0047 0.5023 0.3093 [9 per cell]
4 Be 0.0370 0.3681 0.8211 [18 per cell]
5 Be 0.1672 0.3344 0.9879 [9 per cell]
6 Be 0.1705 0.3409 0.3333 [9 per cell]
7 Nb 0.0000 0.0000 0.4947 [3 per cell]
8 W 0.0000 0.0000 0.8137 [3 per cell]

Values from the calculation:
total DFT energy (no corrections): -4.712 eV/atom
ΔE_f: -304.2 kJ/mol of formula units
total moment: 0.000 Bohr magnetons per cell

=====

# 8
Here is BeNb2W after structural relaxation from Alexandria via LeMat-Bulk. Energies are from GGA-PBE.

Cell: 4.354 4.354 3.339 Å, 90.00 90.00 90.00°
Space group P4/mmm (No. 123)
Asymmetric unit:
1 Be 0.000 0.000 0.000 [1 per cell]
2 Nb 0.000 0.500 0.500 [2 per cell]
3 W 0.500 0.500 0.000 [1 per cell]

Values from the calculation:
total DFT energy (no corrections): -9.151 eV/atom
ΔE_f: 20.7 kJ/mol of formula units
total moment: 0.000 Bohr magnetons per cell